This record from Alexandria describes a relaxed structure of ZnRhSe3. The functional is GGA-PBE.

Output
energy relative to the elements, uncorrected	1.993	eV per formula unit
final energy	-3.42	eV/atom

Geometry as CIF:
```
data_ZnRhSe3
_cell_length_a 4.9140
_cell_length_b 4.9140
_cell_length_c 4.9140
_cell_angle_alpha 90.00
_cell_angle_beta 90.00
_cell_angle_gamma 90.00
_space_group_name_H-M_alt 'P m -3 m'
_space_group_IT_number 221
_space_group_name_Hall '-P 4 2 3'
loop_
_atom_site_label
_atom_site_fract_x
_atom_site_fract_y
_atom_site_fract_z
Zn1 0.0000 0.0000 0.0000
Rh1 0.5000 0.5000 0.5000
Se1 0.0000 0.5000 0.5000
```